Entry from Alexandria via LeMat-Bulk: crystalline GaBiP at its relaxed geometry (PBE).

**Crystal system**: monoclinic
**Total DFT energy (no corrections)**: -0.2937 Ry/atom

Cell: 6.5637 6.5637 14.7905 Å, 31.58 31.58 28.75°
Last column: nearest neighbours and their distance in Å.
Fractional positions:
P (0.5596, 0.5596, 0.7502)  2 P 2.27
P (0.1935, 0.1935, 0.5573)  2 P 2.27
Bi (0.6585, 0.6585, 0.2413)  1 P 2.86, 2 Ga 3.04-3.11
Bi (0.0945, 0.0945, 0.0661)  1 P 2.86, 2 Ga 3.04-3.11
Ga (0.5954, 0.5954, 0.4930)  1 Ga 2.65, 2 P 2.68
Ga (0.1580, 0.1580, 0.8141)  1 Ga 2.65, 2 P 2.68

---

Entry from Alexandria via LeMat-Bulk: crystalline GaBi3P at its relaxed geometry (PBE).

**Crystal system**: cubic
**Offset from the most stable computed form**: 0.00 eV/f.u.

Cell: 5.4607 5.4607 5.4607 Å, 90.00 90.00 90.00°
Last column: nearest neighbours and their distance in Å.
Fractional positions:
Bi (0.0000, 0.5000, 0.0000)  2 P 2.73
Bi (0.5000, 0.0000, 0.0000)  2 P 2.73
Bi (0.0000, 0.0000, 0.5000)  2 P 2.73
Ga (0.5000, 0.5000, 0.5000)  12 Bi 3.86
P (0.0000, 0.0000, 0.0000)  6 Bi 2.73

---

Entry from Alexandria via LeMat-Bulk: crystalline Ga2BiP at its relaxed geometry (PBE).

**Crystal system**: trigonal
**Total DFT energy (no corrections)**: -0.2456 Ry/atom

Cell: 4.3765 4.3765 7.8728 Å, 73.86 73.86 60.00°
Last column: nearest neighbours and their distance in Å.
Fractional positions:
Ga (0.1002, 0.1002, 0.6996)  1 P 2.24
Ga (0.8998, 0.8998, 0.3004)  1 P 2.24
Bi (0.5000, 0.5000, 0.5000)  6 Ga 2.93
P (0.0000, 0.0000, 0.0000)  2 Ga 2.24

---

Entry from Alexandria via LeMat-Bulk: crystalline Ga2BiP at its relaxed geometry (PBE).

**Crystal system**: cubic
**Total DFT energy (no corrections)**: -0.2576 Ry/atom

Cell: 4.9687 4.9687 4.9687 Å, 60.00 60.00 60.00°
Last column: nearest neighbours and their distance in Å.
Fractional positions:
Ga (0.2500, 0.2500, 0.2500)  4 Bi 3.04, 4 P 3.04
Ga (0.7500, 0.7500, 0.7500)  4 Bi 3.04, 4 P 3.04
P (0.0000, 0.0000, 0.0000)  8 Ga 3.04
Bi (0.5000, 0.5000, 0.5000)  8 Ga 3.04

---

Entry from Alexandria via LeMat-Bulk: crystalline GaBi2PPt at its relaxed geometry (PBE).

**Crystal system**: tetragonal
**Total DFT energy (no corrections)**: -0.2650 Ry/atom

Cell: 5.4563 4.3920 5.4563 Å, 90.00 90.00 90.00°
Last column: nearest neighbours and their distance in Å.
Fractional positions:
Bi (0.5000, 0.0000, 0.0000)  2 Ga 2.73
Bi (0.0000, 0.0000, 0.5000)  2 Ga 2.73
P (0.0000, 0.5000, 0.0000)  2 Ga 2.20
Pt (0.5000, 0.5000, 0.5000)  8 Bi 3.50, 4 P 3.86
Ga (0.0000, 0.0000, 0.0000)  2 P 2.20

---

Entry from Alexandria via LeMat-Bulk: crystalline GaBiPPt2 at its relaxed geometry (PBE).

**Crystal system**: tetragonal
**Total DFT energy (no corrections)**: -0.2814 Ry/atom

Cell: 5.1513 5.2713 5.1513 Å, 90.00 90.00 90.00°
Last column: nearest neighbours and their distance in Å.
Fractional positions:
Pt (0.0000, 0.0000, 0.5000)  2 Bi 2.58
Pt (0.5000, 0.0000, 0.0000)  2 Bi 2.58
P (0.0000, 0.5000, 0.0000)  2 Bi 2.64
Bi (0.0000, 0.0000, 0.0000)  4 Pt 2.58, 2 P 2.64
Ga (0.5000, 0.5000, 0.5000)  4 P 3.64, 8 Pt 3.69